Record 1
CaZn4Au2 | Alexandria via LeMat-Bulk | PBE | relaxed; electronic total energy = -0.0729 hartree per atom; DFT formation energy = -0.77 kcal/mol of atoms; excess energy over the best structure of this formula in the dataset = 0.366 eV/atom
1.0
-3.881 3.881 2.838
3.881 -3.881 2.838
3.881 3.881 -2.838
Ca Zn Au
1 4 2
direct
0.000 0.000 0.000
0.273 0.500 0.773
0.500 0.273 0.773
0.500 0.727 0.227
0.727 0.500 0.227
0.250 0.750 0.500
0.750 0.250 0.500

=====

Record 2
AcEuGdTm | Alexandria via LeMat-Bulk | PBE | relaxed; electronic total energy = -0.2979 hartree per atom; DFT formation energy = 2.96 kcal/mol of atoms
1.0
0.000 4.192 4.192
4.192 0.000 4.192
4.192 4.192 0.000
Ac Eu Gd Tm
1 1 1 1
direct
0.000 0.000 0.000
0.750 0.750 0.750
0.500 0.500 0.500
0.250 0.250 0.250

=====

Record 3
Ho2TlCuSe4 | Alexandria via LeMat-Bulk | PBE | relaxed; electronic total energy = -0.1838 hartree per atom; raw formation energy = -1.31 eV per atom
1.0
2.048 -7.041 0.000
2.048 7.041 0.000
0.000 0.000 14.364
Ho Tl Cu Se
4 2 2 8
direct
0.133 0.867 0.565
0.133 0.867 0.935
0.867 0.133 0.065
0.867 0.133 0.435
0.387 0.613 0.750
0.613 0.387 0.250
0.338 0.662 0.250
0.662 0.338 0.750
0.065 0.935 0.750
0.236 0.764 0.110
0.236 0.764 0.390
0.500 0.500 0.000
0.500 0.500 0.500
0.764 0.236 0.610
0.764 0.236 0.890
0.935 0.065 0.250

=====

Record 4
TbCe2V | Alexandria via LeMat-Bulk | PBE | relaxed; electronic total energy = -0.2170 hartree per atom; DFT formation energy = 11.48 kcal/mol of atoms
1.0
1.591 0.919 11.214
-1.591 0.919 11.214
0.000 -1.837 11.214
Tb Ce V
1 2 1
direct
0.000 0.000 0.000
0.426 0.426 0.426
0.574 0.574 0.574
0.500 0.500 0.500

=====

Record 5
Mg4Ag7Pd | Alexandria via LeMat-Bulk | PBE | relaxed; electronic total energy = -0.0968 hartree per atom; DFT formation energy = -0.14 kcal/mol of atoms
1.0
5.287 -2.537 0.000
5.287 2.537 0.000
-5.025 0.000 8.921
Mg Ag Pd
4 7 1
direct
0.113 0.113 0.277
0.262 0.262 0.832
0.738 0.738 0.168
0.887 0.887 0.723
0.000 0.000 0.500
0.133 0.133 0.008
0.289 0.289 0.581
0.430 0.430 0.183
0.570 0.570 0.817
0.711 0.711 0.419
0.867 0.867 0.992
0.500 0.500 0.500

=====

Record 6
SiAg2Mo | Alexandria via LeMat-Bulk | PBE | relaxed; electronic total energy = -0.1941 hartree per atom; raw formation energy = 0.21 eV per atom
1.0
1.682 -2.221 0.000
1.682 2.221 0.000
0.000 0.000 8.761
Si Ag Mo
1 2 1
direct
0.000 0.000 0.000
0.000 0.000 0.481
0.500 0.500 0.750
0.500 0.500 0.214

=====

Record 7
ErAlGa2Cu4 | Alexandria via LeMat-Bulk | PBE | relaxed; electronic total energy = -0.1507 hartree per atom; DFT formation energy = -5.91 kcal/mol of atoms
1.0
2.084 1.203 8.255
-2.084 1.203 8.255
0.000 -2.406 8.255
Er Al Ga Cu
1 1 2 4
direct
0.000 0.000 0.000
0.500 0.500 0.500
0.250 0.250 0.250
0.750 0.750 0.750
0.131 0.131 0.131
0.401 0.401 0.401
0.599 0.599 0.599
0.869 0.869 0.869

=====

Record 8
DySCl | Alexandria via LeMat-Bulk | PBE | relaxed; electronic total energy = -0.1957 hartree per atom; raw formation energy = -1.80 eV per atom
1.0
-1.728 1.728 6.738
1.728 -1.728 6.738
1.728 1.728 -6.738
Dy S Cl
1 1 1
direct
0.000 0.000 0.000
0.405 0.405 0.000
0.636 0.636 0.000

=====

Record 9
CuNiTe4 | Alexandria via LeMat-Bulk | PBE | relaxed; electronic total energy = -0.1415 hartree per atom; excess energy over the best structure of this formula in the dataset = 0.000 eV/atom; raw formation energy = -0.11 eV per atom
1.0
6.211 -1.972 0.000
6.211 1.972 0.000
-3.742 0.000 5.817
Cu Ni Te
1 1 4
direct
0.000 0.000 0.000
0.500 0.500 0.500
0.122 0.122 0.448
0.363 0.363 0.056
0.637 0.637 0.944
0.878 0.878 0.552

=====

Record 10
LiPdBr | Alexandria via LeMat-Bulk | PBE | relaxed; electronic total energy = -0.1303 hartree per atom; excess energy over the best structure of this formula in the dataset = 0.021 eV/atom; raw formation energy = -0.62 eV per atom
1.0
4.268 -1.836 0.000
4.268 1.836 0.000
-3.695 0.000 8.016
Li Pd Br
2 2 2
direct
0.000 0.000 0.000
0.000 0.000 0.500
0.242 0.242 0.390
0.758 0.758 0.610
0.266 0.266 0.824
0.734 0.734 0.176

=====

Record 11
KAg2Rh | Alexandria via LeMat-Bulk | PBE | relaxed; electronic total energy = -0.1122 hartree per atom; DFT formation energy = 11.17 kcal/mol of atoms; excess energy over the best structure of this formula in the dataset = 0.156 eV/atom
1.0
1.491 0.861 10.319
-1.491 0.861 10.319
0.000 -1.722 10.319
K Ag Rh
1 2 1
direct
0.000 0.000 0.000
0.239 0.239 0.239
0.761 0.761 0.761
0.500 0.500 0.500

=====

Record 12
YSnHg2 | Alexandria via LeMat-Bulk | PBE | relaxed; electronic total energy = -0.1116 hartree per atom; DFT formation energy = -6.22 kcal/mol of atoms
1.0
-2.229 2.229 11.061
2.229 -2.229 11.061
2.229 2.229 -11.061
Y Sn Hg
2 2 4
direct
0.000 0.000 0.000
0.750 0.250 0.500
0.250 0.750 0.500
0.500 0.500 0.000
0.132 0.625 0.007
0.375 0.382 0.507
0.618 0.125 0.993
0.875 0.868 0.493

=====

Which of these has the highest electronic total energy? CaZn4Au2